This record from Alexandria describes NaIn4Pb4 after structural relaxation. The functional is PBE.

Results
Formation energy from the elements, eV per atom: -0.0347
Crystal system: tetragonal
D(E_F), states/eV per atom: 0.30
Polymorph energy (0 for the lowest one), meV/atom: 0.0

Structure (CIF):
```
data_NaIn4Pb4
_chemical_formula_sum 'Na2 In8 Pb8'
_symmetry_space_group_name_H-M 'I 4/m m m'
_symmetry_Int_Tables_number 139
_symmetry_space_group_name_Hall '-I 4 2'
_cell_length_a 10.434
_cell_length_b 10.434
_cell_length_c 4.822
_cell_angle_alpha 90.00
_cell_angle_beta 90.00
_cell_angle_gamma 90.00
loop_
_atom_site_label
_atom_site_type_symbol
_atom_site_fract_x
_atom_site_fract_y
_atom_site_fract_z
Na1 Na 0.000 0.000 0.000
In1 In 0.000 0.339 0.000
Pb1 Pb 0.171 0.171 0.500
```